[1]
This record from the Alexandria database describes a geometry-optimized Sc2TiPd9 structure. The functional is PBE-GGA. Values from VASP.

The structure in Quantum ESPRESSO input format:
```
&SYSTEM
  ibrav = 0, nat = 12, ntyp = 3
/
ATOMIC_SPECIES
Sc 44.96 Sc.upf
Ti 47.87 Ti.upf
Pd 106.42 Pd.upf
CELL_PARAMETERS angstrom
3.9778 0.0000 0.0000
0.0000 3.9778 0.0000
0.0000 0.0000 11.9536
ATOMIC_POSITIONS angstrom
Sc 0.0000 0.0000 2.0025
Sc 0.0000 0.0000 9.9511
Ti 0.0000 0.0000 5.9768
Pd 0.0000 1.9889 0.0000
Pd 0.0000 1.9889 4.0688
Pd 0.0000 1.9889 7.8847
Pd 1.9889 0.0000 0.0000
Pd 1.9889 0.0000 4.0688
Pd 1.9889 0.0000 7.8847
Pd 1.9889 1.9889 2.0357
Pd 1.9889 1.9889 5.9768
Pd 1.9889 1.9889 9.9179
```

Energy (eV/atom): -6.388
V (Å³/cell): 189
Symmetry: No. 123
Energy of formation (eV/atom): -0.78



[2]
This record from the Alexandria database describes a geometry-optimized Tl2OsRh structure. The functional is PBE-GGA. Values from VASP.

The structure in Quantum ESPRESSO input format:
```
&SYSTEM
  ibrav = 0, nat = 16, ntyp = 3
/
ATOMIC_SPECIES
Tl 204.38 Tl.upf
Os 190.23 Os.upf
Rh 102.91 Rh.upf
CELL_PARAMETERS angstrom
6.6241 0.0000 0.0000
0.0000 6.6241 0.0000
0.0000 0.0000 6.6241
ATOMIC_POSITIONS angstrom
Tl 1.6560 1.6560 1.6560
Tl 1.6560 1.6560 4.9681
Tl 1.6560 4.9681 1.6560
Tl 1.6560 4.9681 4.9681
Tl 4.9681 1.6560 1.6560
Tl 4.9681 1.6560 4.9681
Tl 4.9681 4.9681 1.6560
Tl 4.9681 4.9681 4.9681
Os 0.0000 0.0000 0.0000
Os 0.0000 3.3121 3.3121
Os 3.3121 0.0000 3.3121
Os 3.3121 3.3121 0.0000
Rh 0.0000 0.0000 3.3121
Rh 0.0000 3.3121 0.0000
Rh 3.3121 0.0000 0.0000
Rh 3.3121 3.3121 3.3121
```

Energy (eV/atom): -5.153
V (Å³/cell): 291
Excess energy over the best structure of this formula in the dataset (meV per atom): 180
Symmetry: No. 225
Energy of formation (eV/atom): 0.68



[3]
This record from the Alexandria database describes a geometry-optimized Y5In2Co2 structure. The functional is PBE-GGA. Values from VASP.

The structure in Quantum ESPRESSO input format:
```
&SYSTEM
  ibrav = 0, nat = 18, ntyp = 3
/
ATOMIC_SPECIES
Y 88.91 Y.upf
In 114.82 In.upf
Co 58.93 Co.upf
CELL_PARAMETERS angstrom
8.3257 -3.6716 0.0000
8.3257 3.6716 0.0000
0.0000 0.0000 7.3286
ATOMIC_POSITIONS angstrom
Y 0.0000 0.0000 0.0000
Y 6.3646 2.3017 5.0011
Y 6.3646 1.3699 1.3368
Y 10.2868 2.3017 5.0011
Y 10.2868 1.3699 1.3368
Y 8.3257 0.0000 3.6643
Y 6.3646 -1.3699 5.9919
Y 6.3646 -2.3017 2.3276
Y 10.2868 -1.3699 5.9919
Y 10.2868 -2.3017 2.3276
In 3.8069 0.0000 0.0000
In 4.5188 0.0000 3.6643
In 12.1326 0.0000 3.6643
In 12.8444 0.0000 0.0000
Co 8.3257 2.8704 2.8756
Co 8.3257 0.8012 6.5399
Co 8.3257 -0.8012 0.7888
Co 8.3257 -2.8704 4.4531
```

Energy (eV/atom): -6.055
V (Å³/cell): 448
Symmetry: No. 64
Energy of formation (eV/atom): -0.28